1.
{"formula": "KSnAs", "functional": "PBE", "state": "optimized geometry", "delta_e_f_ev_per_fu": -0.7, "total_magnetization_mub_per_fu": 0.0, "lattice_angstrom": [[-0.529, -3.678, 0.416], [0.304, -0.462, -3.698], [6.324, 1.247, 2.255]], "species": ["Sn", "As", "K"], "fractional_positions": [[0.294, 0.294, 0.588], [0.699, 0.699, 0.398], [0.007, 0.007, 0.014]]}


2.
{"formula": "HfPa2Ti", "functional": "PBE", "state": "optimized geometry", "delta_e_f_ev_per_fu": 0.6, "total_magnetization_mub_per_fu": 0.0, "polymorph_energy_ev_per_atom": 0.0121, "lattice_angstrom": [[4.902, 0.000, 0.000], [0.000, 4.292, 0.000], [0.000, 0.000, 4.292]], "species": ["Hf", "Pa", "Pa", "Ti"], "fractional_positions": [[0.500, 0.000, 0.000], [0.000, 0.500, 0.000], [0.000, 0.000, 0.500], [0.500, 0.500, 0.500]]}


3.
{"formula": "B2C", "functional": "PBE", "state": "optimized geometry", "delta_e_f_ev_per_fu": 1.1, "total_magnetization_mub_per_fu": 0.0, "polymorph_energy_ev_per_atom": 0.1831, "lattice_angstrom": [[2.413, 0.000, 0.000], [0.000, 2.413, 0.000], [0.000, 0.000, 14.049]], "species": ["C", "C", "C", "C", "B", "B", "B", "B", "B", "B", "B", "B"], "fractional_positions": [[0.000, 0.500, 0.921], [0.500, 0.000, 0.079], [0.000, 0.000, 0.861], [0.000, 0.000, 0.139], [0.000, 0.000, 0.500], [0.500, 0.500, 0.312], [0.500, 0.000, 0.782], [0.000, 0.500, 0.218], [0.500, 0.500, 0.000], [0.500, 0.500, 0.688], [0.000, 0.500, 0.594], [0.500, 0.000, 0.406]]}


4.
{"formula": "SrZn3Cu", "functional": "PBE", "state": "optimized geometry", "delta_e_f_ev_per_fu": -0.5, "total_magnetization_mub_per_fu": 0.0, "polymorph_energy_ev_per_atom": 0.0724, "lattice_angstrom": [[-0.577, -0.895, -5.388], [6.371, -1.041, -0.510], [-3.998, -4.938, 1.248]], "species": ["Zn", "Zn", "Zn", "Zn", "Zn", "Zn", "Sr", "Sr", "Cu", "Cu"], "fractional_positions": [[0.750, 0.190, 0.810], [0.250, 0.810, 0.190], [0.250, 0.381, 0.190], [0.750, 0.619, 0.810], [0.750, 0.190, 0.381], [0.250, 0.810, 0.619], [0.250, 0.333, 0.667], [0.750, 0.667, 0.333], [0.000, 0.000, 0.000], [0.500, 0.000, 0.000]]}